DyY2Ga3CuGe2 | PBE | optimized geometry

a b c (Å): 4.145 7.053 7.053
angles (deg): 120.02 90.00 90.00
Element x y z (fractional)
Cu 0.000 0.999 0.999
Dy 0.000 0.599 0.599
Ga 0.500 0.235 0.235
Ga 0.500 0.000 0.765
Ga 0.500 0.765 0.000
Ge 0.500 0.667 0.334
Ge 0.500 0.334 0.667
Y 0.000 0.401 0.000
Y 0.000 0.000 0.401

Values from the calculation:
total energy	-5.055	eV per atom
total magnetic moment	0.002	μB/f.u.